Record 1
Material: Mg2ZnAuS
Method: DFT, PBE
State: relaxed

## Properties
Raw formation energy = -2.3 kcal/mol of atoms
Space group = P4/mmm
M_tot = 0.00 μB per cell

Cell lengths 4.7176, 4.7176, 4.7214 Å; angles 90.00, 90.00, 90.00 degrees
Last column: nearest neighbours and their distance in Å.
Fractional positions:
Mg1 0.0000 0.5000 0.0000  2 S 2.36
Mg2 0.5000 0.0000 0.0000  2 S 2.36
Zn1 0.0000 0.0000 0.5000  2 S 2.36
Au1 0.5000 0.5000 0.5000  4 Zn 3.34, 8 Mg 3.34
S1 0.0000 0.0000 0.0000  4 Mg 2.36, 2 Zn 2.36

---

Record 2
Material: Mg2SbAu
Method: DFT, PBE
State: relaxed

## Properties
Raw formation energy = -6.9 kcal/mol of atoms
Space group = Cmmm
M_tot = 0.00 μB per cell

Cell lengths 6.8532, 7.8413, 3.1532 Å; angles 90.00, 90.00, 90.00 degrees
Last column: nearest neighbours and their distance in Å.
Fractional positions:
Mg1 0.2500 0.2500 0.0000  4 Sb 3.04, 4 Au 3.04, 2 Mg 3.15
Mg2 0.2500 0.7500 0.0000  4 Sb 3.04, 4 Au 3.04, 2 Mg 3.15
Mg3 0.7500 0.2500 0.0000  4 Sb 3.04, 4 Au 3.04, 2 Mg 3.15
Mg4 0.7500 0.7500 0.0000  4 Sb 3.04, 4 Au 3.04, 2 Mg 3.15
Sb1 0.0000 0.0000 0.5000  8 Mg 3.04, 2 Sb 3.15
Sb2 0.5000 0.5000 0.5000  8 Mg 3.04, 2 Sb 3.15
Au1 0.0000 0.5000 0.5000  8 Mg 3.04, 2 Au 3.15
Au2 0.5000 0.0000 0.5000  8 Mg 3.04, 2 Au 3.15

---

Record 3
Material: MgSbAu
Method: DFT, PBE
State: relaxed

## Properties
Raw formation energy = -5.9 kcal/mol of atoms
Space group = Pmm2
M_tot = 0.00 μB per cell

Cell lengths 4.0706, 4.3026, 7.5995 Å; angles 90.00, 90.00, 90.00 degrees
Last column: nearest neighbours and their distance in Å.
Fractional positions:
Mg1 0.0000 0.0000 0.0000  5 Au 2.72-3.04
Mg2 0.0000 0.5000 0.3777  4 Au 2.94-2.99, 4 Sb 2.98
Sb1 0.5000 0.0000 0.3308  4 Au 2.83-3.12, 4 Mg 2.98
Sb2 0.5000 0.5000 0.7319  5 Au 2.72-3.04
Au1 0.0000 0.0000 0.6423  3 Mg 2.72-2.94, 4 Sb 3.04
Au2 0.5000 0.5000 0.0891  3 Sb 2.72-2.83, 6 Mg 2.99-3.04

---

Repeat the second record exactly.
Material: Mg2SbAu
Method: DFT, PBE
State: relaxed

## Properties
Raw formation energy = -6.9 kcal/mol of atoms
Space group = Cmmm
M_tot = 0.00 μB per cell

Cell lengths 6.8532, 7.8413, 3.1532 Å; angles 90.00, 90.00, 90.00 degrees
Last column: nearest neighbours and their distance in Å.
Fractional positions:
Mg1 0.2500 0.2500 0.0000  4 Sb 3.04, 4 Au 3.04, 2 Mg 3.15
Mg2 0.2500 0.7500 0.0000  4 Sb 3.04, 4 Au 3.04, 2 Mg 3.15
Mg3 0.7500 0.2500 0.0000  4 Sb 3.04, 4 Au 3.04, 2 Mg 3.15
Mg4 0.7500 0.7500 0.0000  4 Sb 3.04, 4 Au 3.04, 2 Mg 3.15
Sb1 0.0000 0.0000 0.5000  8 Mg 3.04, 2 Sb 3.15
Sb2 0.5000 0.5000 0.5000  8 Mg 3.04, 2 Sb 3.15
Au1 0.0000 0.5000 0.5000  8 Mg 3.04, 2 Au 3.15
Au2 0.5000 0.0000 0.5000  8 Mg 3.04, 2 Au 3.15

---

Q: Which value of raw formation energy does entry 2 give?
A: -6.9 kcal/mol of atoms